[1]
{
  "formula": "LiMgSb",
  "functional": "SCAN",
  "state": "single point on PBEsol structure",
  "dos_at_fermi_per_ev_fu": 0.98,
  "e_form_raw_ev_per_fu": -0.98,
  "final_energy_ev_per_cell": -45.602,
  "lattice": [[-1.995, 1.995, 4.093], [1.995, -1.995, 4.093], [1.995, 1.995, -4.093]],
  "species": ["Li", "Mg", "Sb"],
  "frac_coords": [[0.000, 0.000, 0.000], [0.680, 0.680, 0.000], [0.330, 0.330, 0.000]]
}

[2]
{
  "formula": "LiMg2Sb",
  "functional": "SCAN",
  "state": "single point on PBEsol structure",
  "dos_at_fermi_per_ev_fu": 1.15,
  "e_form_raw_ev_per_fu": -0.45,
  "final_energy_ev_per_cell": -50.045,
  "lattice": [[1.635, 0.944, 9.585], [-1.635, 0.944, 9.585], [0.000, -1.888, 9.585]],
  "species": ["Li", "Mg", "Mg", "Sb"],
  "frac_coords": [[0.000, 0.000, 0.000], [0.247, 0.247, 0.247], [0.495, 0.495, 0.495], [0.743, 0.743, 0.743]]
}

[3]
{
  "formula": "LiMgSb3",
  "functional": "SCAN",
  "state": "single point on PBEsol structure",
  "dos_at_fermi_per_ev_fu": 1.79,
  "e_form_raw_ev_per_fu": 1.20,
  "final_energy_ev_per_cell": -117.950,
  "lattice": [[4.987, 0.000, 0.000], [0.000, 4.987, 0.000], [0.000, 0.000, 4.987]],
  "species": ["Li", "Mg", "Sb", "Sb", "Sb"],
  "frac_coords": [[0.000, 0.000, 0.000], [0.500, 0.500, 0.500], [0.000, 0.000, 0.500], [0.000, 0.500, 0.000], [0.500, 0.000, 0.000]]
}

[4]
{
  "formula": "LiMgSb",
  "functional": "SCAN",
  "state": "single point on PBEsol structure",
  "dos_at_fermi_per_ev_fu": 0.57,
  "e_form_raw_ev_per_fu": -0.95,
  "final_energy_ev_per_cell": -45.577,
  "lattice": [[4.487, 0.000, 0.000], [-2.243, 3.886, 0.000], [0.000, 0.000, 3.698]],
  "species": ["Li", "Mg", "Sb"],
  "frac_coords": [[0.000, 0.000, 0.000], [0.333, 0.667, 0.500], [0.667, 0.333, 0.003]]
}